i | Material: RbGa2Re
Method: DFT, PBE
State: relaxed

abc: 6.6882 6.6882 13.6858
angles: 90.00 90.00 90.00
Space group I4_1/amd (No. 141, origin choice 2)
Symmetry-distinct sites (fractional):
Rb  0.0000  0.2500  0.3750 [4 per cell]
Ga  0.0000  0.0000  0.0000 [8 per cell]
Re  0.0000  0.2500  0.8750 [4 per cell]

## Properties
- ρ: 4.5 g/cm3
- Crystal system: tetragonal
- DOS(E_F): 0.280 states/eV per atom



ii | Material: RbGa2Re
Method: DFT, PBE
State: relaxed

abc: 6.9292 6.9292 6.9292
angles: 90.00 90.00 90.00
Space group Fm-3m (No. 225)
Symmetry-distinct sites (fractional):
Rb  0.0000  0.0000  0.0000 [4 per cell]
Ga  0.2500  0.2500  0.2500 [8 per cell]
Re  0.0000  0.0000  0.5000 [4 per cell]

## Properties
- ρ: 8.2 g/cm3
- Crystal system: cubic
- DOS(E_F): 1.520 states/eV per atom



Stability verdict: i, ahead by 0.548 eV/atom



i | Material: RbGaRh3
Method: DFT, PBE
State: relaxed

abc: 4.8872 4.8872 4.8872
angles: 90.00 90.00 90.00
Space group Pm-3m (No. 221)
Symmetry-distinct sites (fractional):
Rb  0.0000  0.0000  0.0000 [1 per cell]
Ga  0.5000  0.5000  0.5000 [1 per cell]
Rh  0.0000  0.0000  0.5000 [3 per cell]

## Properties
- ρ: 6.6 g/cm3
- Crystal system: cubic
- DOS(E_F): 1.394 states/eV per atom



ii | Material: RbGaRh3
Method: DFT, PBE
State: relaxed

abc: 4.7651 4.7651 4.7651
angles: 90.00 90.00 90.00
Space group Pm-3m (No. 221)
Symmetry-distinct sites (fractional):
Rb  0.0000  0.0000  0.0000 [1 per cell]
Ga  0.5000  0.5000  0.5000 [1 per cell]
Rh  0.0000  0.5000  0.5000 [3 per cell]

## Properties
- ρ: 7.1 g/cm3
- Crystal system: cubic
- DOS(E_F): 0.867 states/eV per atom



Stability verdict: ii, ahead by 1.496 eV/atom



i | Material: RbGa2Rh2
Method: DFT, PBE
State: relaxed

abc: 7.8241 7.8241 2.9326
angles: 90.00 90.00 90.00
Space group P4/mbm (No. 127)
Symmetry-distinct sites (fractional):
Rb  0.0000  0.0000  0.0000 [2 per cell]
Ga  0.1402  0.3598  0.5000 [4 per cell]
Rh  0.1413  0.6413  0.0000 [4 per cell]

## Properties
- ρ: 8.0 g/cm3
- Crystal system: tetragonal
- DOS(E_F): 0.216 states/eV per atom



ii | Material: RbGa2Rh2
Method: DFT, PBE
State: relaxed

abc: 4.4441 4.4441 12.3465
angles: 90.00 90.00 90.00
Space group I4/mmm (No. 139)
Symmetry-distinct sites (fractional):
Rb  0.0000  0.0000  0.0000 [2 per cell]
Ga  0.0000  0.0000  0.3310 [4 per cell]
Rh  0.0000  0.5000  0.2500 [4 per cell]

## Properties
- ρ: 5.9 g/cm3
- Crystal system: tetragonal
- DOS(E_F): 0.301 states/eV per atom



Stability verdict: ii, ahead by 0.099 eV/atom



i | Material: RbGaRu3
Method: DFT, PBE
State: relaxed

abc: 4.8580 4.8580 4.8580
angles: 90.00 90.00 90.00
Space group Pm-3m (No. 221)
Symmetry-distinct sites (fractional):
Rb  0.0000  0.0000  0.0000 [1 per cell]
Ga  0.5000  0.5000  0.5000 [1 per cell]
Ru  0.0000  0.0000  0.5000 [3 per cell]

## Properties
- ρ: 6.6 g/cm3
- Crystal system: cubic
- DOS(E_F): 1.179 states/eV per atom



ii | Material: RbGaRu3
Method: DFT, PBE
State: relaxed

abc: 4.8214 4.8214 4.8214
angles: 90.00 90.00 90.00
Space group Pm-3m (No. 221)
Symmetry-distinct sites (fractional):
Rb  0.0000  0.0000  0.0000 [1 per cell]
Ga  0.5000  0.5000  0.5000 [1 per cell]
Ru  0.0000  0.5000  0.5000 [3 per cell]

## Properties
- ρ: 6.8 g/cm3
- Crystal system: cubic
- DOS(E_F): 1.634 states/eV per atom



Stability verdict: ii, ahead by 1.455 eV/atom



i | Material: RbGa3S
Method: DFT, PBE
State: relaxed

abc: 5.9983 5.9983 5.9983
angles: 90.00 90.00 90.00
Space group Pm-3m (No. 221)
Symmetry-distinct sites (fractional):
Rb  0.0000  0.0000  0.0000 [1 per cell]
Ga  0.0000  0.0000  0.5000 [3 per cell]
S  0.5000  0.5000  0.5000 [1 per cell]

## Properties
- ρ: 2.5 g/cm3
- Crystal system: cubic
- DOS(E_F): 0.749 states/eV per atom



ii | Material: RbGa3S
Method: DFT, PBE
State: relaxed

abc: 5.4312 5.4312 5.4312
angles: 90.00 90.00 90.00
Space group Pm-3m (No. 221)
Symmetry-distinct sites (fractional):
Rb  0.0000  0.0000  0.0000 [1 per cell]
Ga  0.0000  0.5000  0.5000 [3 per cell]
S  0.5000  0.5000  0.5000 [1 per cell]

## Properties
- ρ: 3.4 g/cm3
- Crystal system: cubic
- DOS(E_F): 0.751 states/eV per atom



Stability verdict: ii, ahead by 1.030 eV/atom



i | Material: Rb2GaS2
Method: DFT, PBE
State: relaxed

abc: 7.6835 7.6835 5.0172
angles: 90.00 90.00 90.00
Space group P4/mbm (No. 127)
Symmetry-distinct sites (fractional):
Rb  0.1436  0.3564  0.0000 [4 per cell]
Ga  0.0000  0.0000  0.5000 [2 per cell]
S  0.1850  0.6850  0.5000 [4 per cell]

## Properties
- ρ: 3.4 g/cm3
- Crystal system: tetragonal
- DOS(E_F): 0.531 states/eV per atom



ii | Material: Rb2GaS2
Method: DFT, PBE
State: relaxed

abc: 5.5974 5.5974 11.5258
angles: 90.00 90.00 90.00
Space group I4/mmm (No. 139)
Symmetry-distinct sites (fractional):
Rb  0.0000  0.5000  0.2500 [4 per cell]
Ga  0.0000  0.0000  0.0000 [2 per cell]
S  0.0000  0.0000  0.4074 [4 per cell]

## Properties
- ρ: 2.8 g/cm3
- Crystal system: tetragonal
- DOS(E_F): 0.638 states/eV per atom



Stability verdict: i, ahead by 0.293 eV/atom



i | Material: Rb2GaS
Method: DFT, PBE
State: relaxed

abc: 12.5365 12.5365 5.2198
angles: 90.00 90.00 90.00
Space group I-42d (No. 122)
Symmetry-distinct sites (fractional):
Rb  0.0616  0.7500  0.1250 [8 per cell]
Ga  0.0000  0.0000  0.5000 [4 per cell]
S  0.0000  0.0000  0.0000 [4 per cell]

## Properties
- ρ: 2.2 g/cm3
- Crystal system: tetragonal
- DOS(E_F): 0.364 states/eV per atom



ii | Material: Rb2GaS
Method: DFT, PBE
State: relaxed

abc: 8.1751 8.1751 8.1751
angles: 90.00 90.00 90.00
Space group Fm-3m (No. 225)
Symmetry-distinct sites (fractional):
Rb  0.2500  0.2500  0.2500 [8 per cell]
Ga  0.0000  0.0000  0.0000 [4 per cell]
S  0.0000  0.0000  0.5000 [4 per cell]

## Properties
- ρ: 3.3 g/cm3
- Crystal system: cubic
- DOS(E_F): 0.857 states/eV per atom



Stability verdict: i, ahead by 0.099 eV/atom



i | Material: RbGaS
Method: DFT, PBE
State: relaxed

abc: 9.7849 11.7703 14.8288
angles: 90.00 90.00 90.00
Space group Fddd (No. 70, origin choice 2)
Symmetry-distinct sites (fractional):
Rb  0.1250  0.1250  0.2711 [16 per cell]
Ga  0.0000  0.0000  0.5000 [16 per cell]
S  0.1103  0.3750  0.8750 [16 per cell]

## Properties
- ρ: 2.9 g/cm3
- Crystal system: orthorhombic
- DOS(E_F): 0.535 states/eV per atom



ii | Material: RbGaS
Method: DFT, PBE
State: relaxed

abc: 4.0305 4.0305 6.3658
angles: 90.00 90.00 120.00
Space group P3m1 (No. 156)
Symmetry-distinct sites (fractional):
Rb  0.0000  0.0000  0.0000 [1 per cell]
Ga  0.3333  0.6667  0.5509 [1 per cell]
S  0.6667  0.3333  0.3561 [1 per cell]

## Properties
- ρ: 3.5 g/cm3
- Crystal system: trigonal



Stability verdict: ii, ahead by 0.248 eV/atom